DFT (PBE-GGA) results for MnPBr2 after structural relaxation.

Cell lengths 7.705, 7.705, 7.705 Å; angles 153.65, 141.27, 47.45 degrees
Site moments in Bohr magnetons follow the coordinates.
Atoms (fractional coordinates):
1 P 0.403 0.903 0.500  -0.21
2 Br 0.935 0.935 0.000  0.04
3 Br 0.645 0.145 0.500  0.02
4 Mn 0.517 0.517 0.000  3.75

## Properties
* energy above the lowest structure with this stoichiometry: 29 kJ/mol of formula units
* V: 31.652 Å³ per atom
* formation energy from raw total energies: -138 meV/atom
* calculated total energy: -4.619 eV per atom
* D(E_F): 1.0 states/eV per cell
* space group: Imm2